# LaTc2Ge | the Alexandria database | GGA-PBE | relaxed
# Total energy ... -0.2712 Ha/atom
# DOS at the Fermi energy ... 16.3 states/eV/cell
# Crystal system ... tetragonal
# Total magnetic moment ... 0.00 μB per cell
# Formation energy ... 0.19 eV/atom
data_LaTc2Ge
_cell_length_a 4.651
_cell_length_b 4.651
_cell_length_c 17.651
_cell_angle_alpha 90.00
_cell_angle_beta 90.00
_cell_angle_gamma 90.00
_symmetry_space_group_name_H-M 'I -4 2 d'
_symmetry_Int_Tables_number 122
_symmetry_space_group_name_Hall 'I -4 2bw'
loop_
_atom_site_label
_atom_site_type_symbol
_atom_site_fract_x
_atom_site_fract_y
_atom_site_fract_z
_atom_site_occupancy
La1 La 0.000 0.000 0.000 1
Tc1 Tc 0.055 0.750 0.625 1
Ge1 Ge 0.000 0.000 0.500 1



# LaTc2Ge2 | the Alexandria database | GGA-PBE | relaxed
# Offset from the most stable computed form ... 196 meV/atom
# Total energy ... -0.2683 Ha/atom
# DOS at the Fermi energy ... 11.4 states/eV/cell
# Crystal system ... tetragonal
# Total magnetic moment ... 0.00 μB per cell
# Formation energy ... -0.32 eV/atom
data_LaTc2Ge2
_cell_length_a 4.573
_cell_length_b 4.573
_cell_length_c 9.486
_cell_angle_alpha 90.00
_cell_angle_beta 90.00
_cell_angle_gamma 90.00
_symmetry_space_group_name_H-M 'I 4/m m m'
_symmetry_Int_Tables_number 139
_symmetry_space_group_name_Hall '-I 4 2'
loop_
_atom_site_label
_atom_site_type_symbol
_atom_site_fract_x
_atom_site_fract_y
_atom_site_fract_z
_atom_site_occupancy
La1 La 0.000 0.000 0.000 1
Tc1 Tc 0.000 0.000 0.380 1
Ge1 Ge 0.000 0.500 0.250 1



# LaTcGe2 | the Alexandria database | GGA-PBE | relaxed
# Offset from the most stable computed form ... 0 meV/atom
# Total energy ... -0.2455 Ha/atom
# DOS at the Fermi energy ... 9.6 states/eV/cell
# Crystal system ... orthorhombic
# Total magnetic moment ... 0.00 μB per cell
# Formation energy ... -0.55 eV/atom
data_LaTcGe2
_cell_length_a 7.339
_cell_length_b 4.353
_cell_length_c 10.586
_cell_angle_alpha 90.00
_cell_angle_beta 90.00
_cell_angle_gamma 90.00
_symmetry_space_group_name_H-M 'P n m a'
_symmetry_Int_Tables_number 62
loop_
_symmetry_equiv_pos_as_xyz
'x,y,z'
'-x,-y,-z'
'-x+1/2,-y,z+1/2'
'x+1/2,y,-z+1/2'
'x+1/2,-y+1/2,-z+1/2'
'-x+1/2,y+1/2,z+1/2'
'-x,y+1/2,-z'
'x,-y+1/2,z'
loop_
_atom_site_label
_atom_site_type_symbol
_atom_site_fract_x
_atom_site_fract_y
_atom_site_fract_z
_atom_site_occupancy
La1 La 0.164 0.250 0.129 1
Tc1 Tc 0.020 0.750 0.392 1
Ge1 Ge 0.142 0.250 0.811 1
Ge2 Ge 0.191 0.250 0.427 1



# LaTcGe | the Alexandria database | GGA-PBE | relaxed
# Offset from the most stable computed form ... 0 meV/atom
# Total energy ... -0.2610 Ha/atom
# DOS at the Fermi energy ... 10.7 states/eV/cell
# Crystal system ... monoclinic
# Total magnetic moment ... 0.00 μB per cell
# Formation energy ... -0.47 eV/atom
data_LaTcGe
_cell_length_a 5.946
_cell_length_b 5.953
_cell_length_c 7.599
_cell_angle_alpha 90.00
_cell_angle_beta 92.53
_cell_angle_gamma 90.00
_symmetry_space_group_name_H-M 'C 1 2/m 1'
_symmetry_Int_Tables_number 12
loop_
_symmetry_equiv_pos_as_xyz
'x,y,z'
'-x,-y,-z'
'-x,y,-z'
'x,-y,z'
'x+1/2,y+1/2,z'
'-x+1/2,-y+1/2,-z'
'-x+1/2,y+1/2,-z'
'x+1/2,-y+1/2,z'
loop_
_atom_site_label
_atom_site_type_symbol
_atom_site_fract_x
_atom_site_fract_y
_atom_site_fract_z
_atom_site_occupancy
La1 La 0.247 0.000 0.331 1
Tc1 Tc 0.000 0.211 0.000 1
Ge1 Ge 0.228 0.500 0.202 1



# LaTc4Ge12 | the Alexandria database | GGA-PBE | relaxed
# Total energy ... -0.2148 Ha/atom
# DOS at the Fermi energy ... 30.1 states/eV/cell
# Crystal system ... cubic
# Total magnetic moment ... 0.00 μB per cell
# Formation energy ... 0.14 eV/atom
data_LaTc4Ge12
_cell_length_a 8.819
_cell_length_b 8.819
_cell_length_c 8.819
_cell_angle_alpha 90.00
_cell_angle_beta 90.00
_cell_angle_gamma 90.00
_symmetry_space_group_name_H-M 'I m -3'
_symmetry_Int_Tables_number 204
_symmetry_space_group_name_Hall '-I 2 2 3'
loop_
_atom_site_label
_atom_site_type_symbol
_atom_site_fract_x
_atom_site_fract_y
_atom_site_fract_z
_atom_site_occupancy
La1 La 0.000 0.000 0.000 1
Tc1 Tc 0.250 0.250 0.250 1
Ge1 Ge 0.000 0.161 0.343 1



# LaTcGe2 | the Alexandria database | GGA-PBE | relaxed
# Offset from the most stable computed form ... 207 meV/atom
# Total energy ... -0.2379 Ha/atom
# DOS at the Fermi energy ... 2.9 states/eV/cell
# Crystal system ... tetragonal
# Total magnetic moment ... 0.00 μB per cell
# Formation energy ... -0.34 eV/atom
data_LaTcGe2
_cell_length_a 3.257
_cell_length_b 3.257
_cell_length_c 7.220
_cell_angle_alpha 90.00
_cell_angle_beta 90.00
_cell_angle_gamma 90.00
_symmetry_space_group_name_H-M 'P 4/m m m'
_symmetry_Int_Tables_number 123
_symmetry_space_group_name_Hall '-P 4 2'
loop_
_atom_site_label
_atom_site_type_symbol
_atom_site_fract_x
_atom_site_fract_y
_atom_site_fract_z
_atom_site_occupancy
La1 La 0.000 0.000 0.000 1
Tc1 Tc 0.000 0.000 0.500 1
Ge1 Ge 0.500 0.500 0.308 1



# LaTcGe2 | the Alexandria database | GGA-PBE | relaxed
# Offset from the most stable computed form ... 87 meV/atom
# Total energy ... -0.2423 Ha/atom
# DOS at the Fermi energy ... 11.0 states/eV/cell
# Crystal system ... trigonal
# Total magnetic moment ... 0.00 μB per cell
# Formation energy ... -0.46 eV/atom
data_LaTcGe2
_cell_length_a 4.2995
_cell_length_b 4.2995
_cell_length_c 15.7613
_cell_angle_alpha 90.00
_cell_angle_beta 90.00
_cell_angle_gamma 120.00
_symmetry_space_group_name_H-M 'R -3 m'
_symmetry_Int_Tables_number 166
_symmetry_space_group_name_Hall '-R 3 2"'
loop_
_atom_site_label
_atom_site_type_symbol
_atom_site_fract_x
_atom_site_fract_y
_atom_site_fract_z
_atom_site_occupancy
La1 La 0.0000 0.0000 0.0000 1
Tc1 Tc 0.0000 0.0000 0.5000 1
Ge1 Ge 0.0000 0.0000 0.2150 1



# LaTc2Ge2 | the Alexandria database | GGA-PBE | relaxed
# Offset from the most stable computed form ... 91 meV/atom
# Total energy ... -0.2721 Ha/atom
# DOS at the Fermi energy ... 13.1 states/eV/cell
# Crystal system ... tetragonal
# Total magnetic moment ... 0.02 μB per cell
# Formation energy ... -0.43 eV/atom
data_LaTc2Ge2
_cell_length_a 4.233
_cell_length_b 4.233
_cell_length_c 10.841
_cell_angle_alpha 90.00
_cell_angle_beta 90.00
_cell_angle_gamma 90.00
_symmetry_space_group_name_H-M 'I 4/m m m'
_symmetry_Int_Tables_number 139
_symmetry_space_group_name_Hall '-I 4 2'
loop_
_atom_site_label
_atom_site_type_symbol
_atom_site_fract_x
_atom_site_fract_y
_atom_site_fract_z
_atom_site_occupancy
La1 La 0.000 0.000 0.000 1
Tc1 Tc 0.000 0.500 0.250 1
Ge1 Ge 0.000 0.000 0.375 1



# LaTc4Ge2 | the Alexandria database | GGA-PBE | relaxed
# Total energy ... -0.3072 Ha/atom
# DOS at the Fermi energy ... 12.8 states/eV/cell
# Crystal system ... orthorhombic
# Total magnetic moment ... 0.00 μB per cell
# Formation energy ... -0.41 eV/atom
data_LaTc4Ge2
_cell_length_a 4.190
_cell_length_b 14.518
_cell_length_c 4.163
_cell_angle_alpha 90.00
_cell_angle_beta 90.00
_cell_angle_gamma 90.00
_symmetry_space_group_name_H-M 'C m m m'
_symmetry_Int_Tables_number 65
_symmetry_space_group_name_Hall '-C 2 2'
loop_
_atom_site_label
_atom_site_type_symbol
_atom_site_fract_x
_atom_site_fract_y
_atom_site_fract_z
_atom_site_occupancy
La1 La 0.000 0.000 0.000 1
Tc1 Tc 0.000 0.196 0.500 1
Tc2 Tc 0.000 0.301 0.000 1
Ge1 Ge 0.000 0.409 0.500 1



# LaTcGe2 | the Alexandria database | GGA-PBE | relaxed
# Offset from the most stable computed form ... 349 meV/atom
# Total energy ... -0.2327 Ha/atom
# DOS at the Fermi energy ... 7.4 states/eV/cell
# Crystal system ... cubic
# Total magnetic moment ... 0.00 μB per cell
# Formation energy ... -0.20 eV/atom
data_LaTcGe2
_cell_length_a 6.760
_cell_length_b 6.760
_cell_length_c 6.760
_cell_angle_alpha 90.00
_cell_angle_beta 90.00
_cell_angle_gamma 90.00
_symmetry_space_group_name_H-M 'F m -3 m'
_symmetry_Int_Tables_number 225
_symmetry_space_group_name_Hall '-F 4 2 3'
loop_
_atom_site_label
_atom_site_type_symbol
_atom_site_fract_x
_atom_site_fract_y
_atom_site_fract_z
_atom_site_occupancy
La1 La 0.000 0.000 0.000 1
Tc1 Tc 0.000 0.000 0.500 1
Ge1 Ge 0.250 0.250 0.250 1



# LaTc2Ge2 | the Alexandria database | GGA-PBE | relaxed
# Offset from the most stable computed form ... 420 meV/atom
# Total energy ... -0.2600 Ha/atom
# DOS at the Fermi energy ... 6.3 states/eV/cell
# Crystal system ... tetragonal
# Total magnetic moment ... 0.00 μB per cell
# Formation energy ... -0.10 eV/atom
data_LaTc2Ge2
_cell_length_a 7.681
_cell_length_b 7.681
_cell_length_c 3.044
_cell_angle_alpha 90.00
_cell_angle_beta 90.00
_cell_angle_gamma 90.00
_symmetry_space_group_name_H-M 'P 4/m b m'
_symmetry_Int_Tables_number 127
_symmetry_space_group_name_Hall '-P 4 2ab'
loop_
_atom_site_label
_atom_site_type_symbol
_atom_site_fract_x
_atom_site_fract_y
_atom_site_fract_z
_atom_site_occupancy
La1 La 0.000 0.000 0.000 1
Tc1 Tc 0.145 0.355 0.500 1
Ge1 Ge 0.137 0.637 0.000 1



# LaTcGe | the Alexandria database | GGA-PBE | relaxed
# Offset from the most stable computed form ... 596 meV/atom
# Total energy ... -0.2391 Ha/atom
# DOS at the Fermi energy ... 6.9 states/eV/cell
# Crystal system ... tetragonal
# Total magnetic moment ... 0.83 μB per cell
# Formation energy ... 0.13 eV/atom
data_LaTcGe
_cell_length_a 4.157
_cell_length_b 4.157
_cell_length_c 8.084
_cell_angle_alpha 90.00
_cell_angle_beta 90.00
_cell_angle_gamma 90.00
_symmetry_space_group_name_H-M 'P 4/n m m'
_symmetry_Int_Tables_number 129
loop_
_symmetry_equiv_pos_as_xyz
'x,y,z'
'-x,-y,-z'
'-y+1/2,x,z'
'y+1/2,-x,-z'
'-x+1/2,-y+1/2,z'
'x+1/2,y+1/2,-z'
'y,-x+1/2,z'
'-y,x+1/2,-z'
'x+1/2,-y,-z'
'-x+1/2,y,z'
'-y,-x,-z'
'y,x,z'
'-x,y+1/2,-z'
'x,-y+1/2,z'
'y+1/2,x+1/2,-z'
'-y+1/2,-x+1/2,z'
loop_
_atom_site_label
_atom_site_type_symbol
_atom_site_fract_x
_atom_site_fract_y
_atom_site_fract_z
_atom_site_occupancy
La1 La 0.250 0.250 0.220 1
Tc1 Tc 0.250 0.250 0.545 1
Ge1 Ge 0.250 0.250 0.848 1